1.
DFT (PBEsol) results for an optimized crystal structure of MgCo2As.

Results
space group = No. 119
Fermi-level density of states = 4.54 states/eV/cell
calculated volume = 12.41 Å³/atom
energy relative to the elements = 0.0092 eV/atom

Geometry as POSCAR:
```
MgCo2As
1.0
-1.234 1.822 2.790
2.640 -1.281 2.004
1.547 2.794 -3.403
Mg Co As
1 2 1
Direct
0.500 0.500 0.000
0.750 0.250 0.500
0.000 0.000 0.000
0.250 0.750 0.500
```

***

2.
DFT (PBEsol) results for an optimized crystal structure of CdPbS2.

Results
E_form (uncorrected) = -0.526 eV per atom
space group = No. 166
calculated volume = 22.47 Å³/atom

Geometry as POSCAR:
```
CdPbS2
1.0
-0.234 -3.988 -0.004
1.022 -2.064 3.264
-5.867 -1.659 3.233
S Pb Cd
2 1 1
Direct
0.241 0.241 0.277
0.759 0.759 0.723
0.000 0.000 0.000
0.500 0.500 0.500
```

***

Repeat the first record exactly.
DFT (PBEsol) results for an optimized crystal structure of MgCo2As.

Results
space group = No. 119
Fermi-level density of states = 4.54 states/eV/cell
calculated volume = 12.41 Å³/atom
energy relative to the elements = 0.0092 eV/atom

Geometry as POSCAR:
```
MgCo2As
1.0
-1.234 1.822 2.790
2.640 -1.281 2.004
1.547 2.794 -3.403
Mg Co As
1 2 1
Direct
0.500 0.500 0.000
0.750 0.250 0.500
0.000 0.000 0.000
0.250 0.750 0.500
```

***

Which of these has the lowest calculated volume?
MgCo2As